Entry from Alexandria via LeMat-Bulk: a relaxed MgCu2Pd2 crystal (PBE).

Output
- energy of formation (eV/atom) = -0.2361
- space group = No. 127
- D(E_F) (states/eV/cell) = 3.61
- excess energy over the best structure of this formula in the dataset (meV per atom) = 78.1

Cell lengths 7.092, 7.092, 3.001 Å; angles 90.00, 90.00, 90.00 degrees
Fractional positions:
Mg 0.000 0.000 0.000
Mg 0.500 0.500 0.000
Cu 0.123 0.377 0.000
Cu 0.377 0.877 0.000
Cu 0.623 0.123 0.000
Cu 0.877 0.623 0.000
Pd 0.174 0.674 0.500
Pd 0.326 0.174 0.500
Pd 0.674 0.826 0.500
Pd 0.826 0.326 0.500

***

Entry from Alexandria via LeMat-Bulk: a relaxed Ho3Tm2Cd crystal (PBE).

Output
- energy of formation (eV/atom) = -0.0860
- space group = No. 123
- D(E_F) (states/eV/cell) = 8.49
- excess energy over the best structure of this formula in the dataset (meV per atom) = 0.0

Cell lengths 3.524, 3.524, 14.046 Å; angles 90.00, 90.00, 90.00 degrees
Fractional positions:
Ho 0.000 0.000 0.000
Ho 0.000 0.000 0.351
Ho 0.000 0.000 0.649
Tm 0.500 0.500 0.175
Tm 0.500 0.500 0.825
Cd 0.500 0.500 0.500

***

Entry from Alexandria via LeMat-Bulk: a relaxed In2SbTe crystal (PBE).

Output
- formation energy without anion corrections (eV/atom) = 0.0246
- space group = No. 47
- D(E_F) (states/eV/cell) = 1.31
- excess energy over the best structure of this formula in the dataset (meV per atom) = 181.9

Cell lengths 4.041, 5.026, 5.704 Å; angles 90.00, 90.00, 90.00 degrees
Fractional positions:
In 0.000 0.000 0.000
In 0.500 0.500 0.000
Sb 0.000 0.500 0.500
Te 0.500 0.000 0.500

***

Entry from Alexandria via LeMat-Bulk: a relaxed TaAgRuO6 crystal (PBE).

Output
- formation energy without anion corrections (eV/atom) = -1.3845
- space group = No. 149
- D(E_F) (states/eV/cell) = 2.85

Cell lengths 5.234, 5.234, 4.874 Å; angles 90.00, 90.00, 120.00 degrees
Fractional positions:
Ta 0.000 0.000 0.000
Ag 0.333 0.667 0.500
Ru 0.667 0.333 0.000
O 0.339 0.039 0.777
O 0.339 0.300 0.223
O 0.700 0.039 0.223
O 0.700 0.661 0.777
O 0.961 0.300 0.777
O 0.961 0.661 0.223

***

Entry from Alexandria via LeMat-Bulk: a relaxed SmDy4Er3 crystal (PBE).

Output
- energy of formation (eV/atom) = 0.2199
- space group = No. 12
- D(E_F) (states/eV/cell) = 12.75
- excess energy over the best structure of this formula in the dataset (meV per atom) = 213.3

Cell lengths 13.283, 13.283, 3.545 Å; angles 90.05, 90.05, 24.41 degrees
Fractional positions:
Sm 0.000 0.000 0.000
Dy 0.105 0.105 0.501
Dy 0.224 0.224 0.499
Dy 0.776 0.776 0.501
Dy 0.895 0.895 0.499
Er 0.344 0.344 0.000
Er 0.500 0.500 0.500
Er 0.656 0.656 0.000

***

Entry from Alexandria via LeMat-Bulk: a relaxed Cd2HgOs crystal (PBE).

Output
- energy of formation (eV/atom) = 0.4742
- space group = No. 166
- D(E_F) (states/eV/cell) = 4.09

Cell lengths 10.453, 10.453, 10.453 Å; angles 16.29, 16.29, 16.29 degrees
Fractional positions:
Cd 0.242 0.242 0.242
Cd 0.758 0.758 0.758
Hg 0.000 0.000 0.000
Os 0.500 0.500 0.500

***

Entry from Alexandria via LeMat-Bulk: a relaxed MnNiH crystal (PBE).

Output
- VASP energy (eV per atom) = -6.045
- space group = No. 12
- D(E_F) (states/eV/cell) = 5.17

Cell lengths 4.833, 4.833, 4.475 Å; angles 115.15, 115.15, 30.43 degrees
Fractional positions:
Mn 0.104 0.104 0.457
Mn 0.896 0.896 0.543
Ni 0.375 0.375 0.020
Ni 0.625 0.625 0.980
H 0.258 0.258 0.265
H 0.742 0.742 0.735

***

Entry from Alexandria via LeMat-Bulk: a relaxed PuU4Pa crystal (PBE).

Output
- energy of formation (eV/atom) = 0.2136
- space group = No. 216
- D(E_F) (states/eV/cell) = 24.40

Cell lengths 5.717, 5.717, 5.717 Å; angles 60.00, 60.00, 60.00 degrees
Fractional positions:
Pu 0.000 0.000 0.000
U 0.126 0.625 0.625
U 0.625 0.126 0.625
U 0.625 0.625 0.126
U 0.625 0.625 0.625
Pa 0.250 0.250 0.250